No. 1
Density functional theory data (PBE) for an optimized crystal structure of La4HgSbO.

- SG: Cmcm, No. 63
- Raw formation energy: -1.30 eV per atom
- ρ: 7309 kg/m3

Structure (POSCAR):
```
La4HgSbO
1.0
3.471 -8.438 0.000
3.471 8.438 0.000
0.000 0.000 6.935
La Hg Sb O
8 2 2 2
Direct
0.000 0.500 0.000
0.000 0.500 0.500
0.074 0.926 0.750
0.419 0.581 0.750
0.500 0.000 0.000
0.500 0.000 0.500
0.581 0.419 0.250
0.926 0.074 0.250
0.114 0.886 0.250
0.886 0.114 0.750
0.389 0.611 0.250
0.611 0.389 0.750
0.248 0.752 0.750
0.752 0.248 0.250
```

No. 2
Density functional theory data (PBE) for an optimized crystal structure of La4SiHgO.

- SG: Cmcm, No. 63
- Raw formation energy: -1.12 eV per atom
- ρ: 6803 kg/m3

Structure (POSCAR):
```
La4SiHgO
1.0
3.438 -8.236 0.000
3.438 8.236 0.000
0.000 0.000 6.900
La Si Hg O
8 2 2 2
Direct
0.000 0.500 0.000
0.000 0.500 0.500
0.066 0.934 0.750
0.424 0.576 0.750
0.500 0.000 0.000
0.500 0.000 0.500
0.576 0.424 0.250
0.934 0.066 0.250
0.118 0.882 0.250
0.882 0.118 0.750
0.387 0.613 0.250
0.613 0.387 0.750
0.257 0.743 0.750
0.743 0.257 0.250
```

No. 3
Density functional theory data (PBE) for an optimized crystal structure of La2SmHgO.

- SG: P4/mmm, No. 123
- Raw formation energy: -1.35 eV per atom
- ρ: 8503 kg/m3

Structure (POSCAR):
```
La2SmHgO
1.0
5.057 0.000 0.000
0.000 5.057 0.000
0.000 0.000 4.924
La Sm Hg O
2 1 1 1
Direct
0.000 0.500 0.000
0.500 0.000 0.000
0.000 0.000 0.500
0.500 0.500 0.500
0.000 0.000 0.000
```

No. 4
Density functional theory data (PBE) for an optimized crystal structure of La2Sm4Hg3O2.

- SG: I4/mmm, No. 139
- Raw formation energy: -1.26 eV per atom
- ρ: 8633 kg/m3

Structure (POSCAR):
```
La2Sm4Hg3O2
1.0
-2.469 2.469 11.934
2.469 -2.469 11.934
2.469 2.469 -11.934
La Sm Hg O
2 4 3 2
Direct
0.200 0.200 0.000
0.800 0.800 0.000
0.083 0.583 0.500
0.417 0.917 0.500
0.583 0.083 0.500
0.917 0.417 0.500
0.332 0.332 0.000
0.500 0.500 0.000
0.668 0.668 0.000
0.101 0.101 0.000
0.899 0.899 0.000
```

no.,raw total energy (eV/atom)
1,-5.456
2,-5.462
3,-5.319
4,-4.860